1.
{"formula": "BaRu", "functional": "SCAN", "state": "PBEsol geometry", "lattice": [[3.191, 0.000, 0.000], [0.000, 3.849, 0.000], [0.000, 0.000, 9.279]], "species": ["Ba", "Ba", "Ru", "Ru"], "frac_coords": [[0.250, 0.250, 0.213], [0.750, 0.750, 0.787], [0.250, 0.750, 0.467], [0.750, 0.250, 0.533]], "sg": "Pmmn", "total_energy_ev_per_cell": -146.20, "e_form_ev_per_atom": 0.6380}


2.
{"formula": "Ba3Ru", "functional": "SCAN", "state": "PBEsol geometry", "lattice": [[2.219, 1.281, 10.254], [-2.219, 1.281, 10.254], [0.000, -2.562, 10.254]], "species": ["Ba", "Ba", "Ba", "Ru"], "frac_coords": [[0.000, 0.000, 0.000], [0.218, 0.218, 0.218], [0.782, 0.782, 0.782], [0.500, 0.500, 0.500]], "sg": "R-3m", "total_energy_ev_per_cell": -151.34, "e_form_ev_per_atom": 0.5350}


3.
{"formula": "Ba3Ru2", "functional": "SCAN", "state": "PBEsol geometry", "lattice": [[2.466, 1.424, 8.712], [-2.466, 1.424, 8.712], [0.000, -2.848, 8.712]], "species": ["Ba", "Ba", "Ba", "Ru", "Ru"], "frac_coords": [[0.000, 0.000, 0.000], [0.236, 0.236, 0.236], [0.764, 0.764, 0.764], [0.345, 0.345, 0.345], [0.655, 0.655, 0.655]], "sg": "R-3m", "total_energy_ev_per_cell": -184.93, "e_form_ev_per_atom": 0.6737}


4.
{"formula": "BaRu", "functional": "SCAN", "state": "PBEsol geometry", "lattice": [[4.166, 0.000, 0.000], [0.000, 4.527, 0.000], [0.000, 0.000, 7.698]], "species": ["Ba", "Ba", "Ru", "Ru"], "frac_coords": [[0.250, 0.000, 0.235], [0.750, 0.000, 0.765], [0.250, 0.500, 0.935], [0.750, 0.500, 0.065]], "sg": "Pmma", "total_energy_ev_per_cell": -147.16, "e_form_ev_per_atom": 0.3987}


5.
{"formula": "Ba2Ru", "functional": "SCAN", "state": "PBEsol geometry", "lattice": [[-3.721, 3.721, 3.411], [3.721, -3.721, 3.411], [3.721, 3.721, -3.411]], "species": ["Ba", "Ba", "Ba", "Ba", "Ru", "Ru"], "frac_coords": [[0.185, 0.685, 0.870], [0.315, 0.185, 0.500], [0.685, 0.815, 0.500], [0.815, 0.315, 0.130], [0.250, 0.250, 0.000], [0.750, 0.750, 0.000]], "sg": "I4/mcm", "total_energy_ev_per_cell": -224.43, "e_form_ev_per_atom": 0.5700}


6.
{"formula": "BaSbRu", "functional": "SCAN", "state": "PBEsol geometry", "lattice": [[0.000, 3.549, 3.549], [3.549, 0.000, 3.549], [3.549, 3.549, 0.000]], "species": ["Ba", "Sb", "Ru"], "frac_coords": [[0.000, 0.000, 0.000], [0.750, 0.750, 0.750], [0.500, 0.500, 0.500]], "formation_energy_uncorrected_ev_per_atom": 0.406, "sg": "F-43m", "total_energy_ev_per_cell": -110.42}


7.
{"formula": "Ba2SbRu2", "functional": "SCAN", "state": "PBEsol geometry", "lattice": [[-3.084, 3.084, 3.771], [3.084, -3.084, 3.771], [3.084, 3.084, -3.771]], "species": ["Ba", "Ba", "Sb", "Ru", "Ru"], "frac_coords": [[0.250, 0.750, 0.500], [0.750, 0.250, 0.500], [0.000, 0.000, 0.000], [0.349, 0.349, 0.000], [0.651, 0.651, 0.000]], "formation_energy_uncorrected_ev_per_atom": 0.374, "sg": "I4/mmm", "total_energy_ev_per_cell": -184.14}


8.
{"formula": "BaSb2Ru", "functional": "SCAN", "state": "PBEsol geometry", "lattice": [[-2.334, 2.334, 4.543], [2.334, -2.334, 4.543], [2.334, 2.334, -4.543]], "species": ["Ba", "Sb", "Sb", "Ru"], "frac_coords": [[0.000, 0.000, 0.000], [0.250, 0.750, 0.500], [0.500, 0.500, 0.000], [0.750, 0.250, 0.500]], "formation_energy_uncorrected_ev_per_atom": 0.382, "sg": "I-4m2", "total_energy_ev_per_cell": -147.37}